16
Lattice="-1.498 1.509 -5.917 5.701 -2.634 0.299 -5.679 -5.473 2.931" Properties=species:S:1:pos:R:3 comment="NiTePbO5 GGA+U relaxed" dos_ef_per_ev_fu=0.3 e_tot_ev_per_fu=-40.1 pbc="T T T"
Ni 2.420 -2.931 -0.575
Ni -3.897 -3.666 -2.112
Te -1.082 -0.916 -3.598
Te -0.395 -5.681 0.911
Pb -2.840 -2.736 1.465
Pb 0.000 0.000 0.000
O 3.790 -3.719 0.608
O -5.267 -2.878 -3.295
O -0.029 -0.164 -5.374
O -1.447 -6.433 2.687
O -3.014 -1.161 -2.582
O 1.537 -5.436 -0.105
O -0.354 -2.687 -3.384
O -1.123 -3.910 0.698
O 0.051 -0.215 -2.206
O -1.528 -6.382 -0.481